The following is a DFT calculation (PBE) of an optimized crystal structure of La2PmPb2.

Cell lengths 4.6650, 8.5136, 8.5136 Å; angles 90.00, 90.00, 90.00 degrees
Closest atoms and distances in Å follow each position.
Sites, in units of the cell vectors:
Pb 0.0000 0.6351 0.1351  1 Pb 3.25, 2 Pm 3.31, 6 La 3.33-3.49
Pm 0.0000 0.0000 0.0000  4 Pb 3.31
La 0.5000 0.6679 0.8321  6 Pb 3.33-3.49
La 0.5000 0.8321 0.3321  6 Pb 3.33-3.49
La 0.5000 0.1679 0.6679  6 Pb 3.33-3.49
Pb 0.0000 0.1351 0.3649  1 Pb 3.25, 2 Pm 3.31, 6 La 3.33-3.49
Pb 0.0000 0.8649 0.6351  1 Pb 3.25, 2 Pm 3.31, 6 La 3.33-3.49
Pm 0.0000 0.5000 0.5000  4 Pb 3.31
La 0.5000 0.3321 0.1679  6 Pb 3.33-3.49
Pb 0.0000 0.3649 0.8649  1 Pb 3.25, 2 Pm 3.31, 6 La 3.33-3.49

As for the energy above the most stable polymorph in this dataset: 0 meV/atom. As for the formation energy: -556.3 meV/atom.


The following is a DFT calculation (PBE) of an optimized crystal structure of CrCuNiPt.

Cell lengths 4.2039, 4.2039, 4.2039 Å; angles 60.00, 60.00, 60.00 degrees
Closest atoms and distances in Å follow each position.
Sites, in units of the cell vectors:
Ni 0.2500 0.2500 0.2500  4 Cu 2.57, 4 Cr 2.57
Pt 0.7500 0.7500 0.7500  4 Cr 2.57, 4 Cu 2.57
Cu 0.5000 0.5000 0.5000  4 Ni 2.57, 4 Pt 2.57
Cr 0.0000 0.0000 0.0000  4 Ni 2.57, 4 Pt 2.57

As for the formation energy: -7.5 meV/atom.


> What is the formula in the second record?

CrCuNiPt


> What is the formula in the second record?

CrCuNiPt